Entry 1:
A plane-wave DFT calculation with PBE-GGA was carried out for Cd2Te2Cl after structural relaxation.

DFT total energy (eV per atom): -2.3131
Formation energy without anion corrections (eV/atom): -0.32
Space-group type: I4/mmm (139)

Structure (POSCAR):
```
Cd2Te2Cl
1.0
-2.871 2.871 4.570
2.871 -2.871 4.570
2.871 2.871 -4.570
Cd Te Cl
2 2 1
direct
0.250 0.750 0.500
0.750 0.250 0.500
0.156 0.156 0.000
0.844 0.844 0.000
0.500 0.500 0.000
```


Entry 2:
A plane-wave DFT calculation with PBE-GGA was carried out for TbHo6Sc2 after structural relaxation.

DFT total energy (eV per atom): -4.8404
Space-group type: C2/c (15)

Structure (POSCAR):
```
TbHo6Sc2
1.0
6.659 -6.434 0.000
6.659 6.434 0.000
-1.585 0.000 6.293
Tb Ho Sc
2 12 4
direct
0.141 0.859 0.750
0.859 0.141 0.250
0.036 0.207 0.818
0.050 0.462 0.264
0.207 0.036 0.318
0.330 0.618 0.001
0.382 0.670 0.499
0.462 0.050 0.764
0.538 0.950 0.236
0.618 0.330 0.501
0.670 0.382 0.999
0.793 0.964 0.682
0.950 0.538 0.736
0.964 0.793 0.182
0.291 0.348 0.628
0.348 0.291 0.128
0.652 0.709 0.872
0.709 0.652 0.372
```


Number 1: distance to the lowest polymorph of the same formula 0.0 meV per atom. Number 2: distance to the lowest polymorph of the same formula 53.1 meV per atom.